DFT (GGA+U) results for crystalline TlNiO2 at its relaxed geometry.

a = 4.057 Å, b = 4.057 Å, c = 4.057 Å
α = 60.00°, β = 60.00°, γ = 60.00°
Fractional coordinates of all 4 atoms:
O1 0.250 0.250 0.250
Ni1 0.000 0.000 0.000
Tl1 0.500 0.500 0.500
O2 0.750 0.750 0.750

Summary:
magnetic moment	0.3363	μB/atom
VASP energy	-3.50	eV per atom
Fermi-level density of states	2.56	states/eV/cell
space group	No. 225